No. 1
Here is Ba2YPtSe6 after structural relaxation from the Open Quantum Materials Database. Energies are from PBE.

calculated total energy	-4.929	eV/atom
calculated volume	570	Å³ per cell
total magnetic moment	0.1	μB per formula unit
energy above the most stable polymorph in this dataset	0.0141	eV/atom

a = 7.2959 Å, b = 7.2959 Å, c = 10.7016 Å
α = 90.00°, β = 90.00°, γ = 90.00°
Space group I4/m (No. 87)
One atom of each set of equivalent atoms:
Ba (0.0000, 0.5000, 0.2500)
Y (0.0000, 0.0000, 0.0000)
Pt (0.0000, 0.0000, 0.5000)
Se (0.0000, 0.0000, 0.2639)
Se (0.1786, 0.2955, 0.5000)

=====

No. 2
Here is Ba2YPtSe6 after structural relaxation from the Open Quantum Materials Database. Energies are from PBE.

calculated total energy	-4.943	eV/atom
calculated volume	281	Å³ per cell
total magnetic moment	0.0	μB per formula unit
energy above the most stable polymorph in this dataset	0.0000	eV/atom

a = 6.7662 Å, b = 7.1797 Å, c = 7.4367 Å
α = 66.29°, β = 63.91°, γ = 63.54°
Space group P-1 (No. 2)
One atom of each set of equivalent atoms:
Ba (0.2390, 0.2763, 0.2509)
Y (0.0000, 0.0000, 0.0000)
Pt (0.5000, 0.5000, 0.5000)
Se (0.2005, 0.7772, 0.3210)
Se (0.2640, 0.6522, 0.8189)
Se (0.3302, 0.1958, 0.6913)

=====

No. 3
Here is Ba2ZrPtSe6 after structural relaxation from the Open Quantum Materials Database. Energies are from PBE.

calculated total energy	-5.039	eV/atom
calculated volume	1099	Å³ per cell
total magnetic moment	0.0	μB per formula unit
energy above the most stable polymorph in this dataset	0.0592	eV/atom

a = 10.3200 Å, b = 10.3200 Å, c = 10.3200 Å
α = 90.00°, β = 90.00°, γ = 90.00°
Space group Fm-3m (No. 225)
One atom of each set of equivalent atoms:
Ba (0.2500, 0.2500, 0.2500)
Zr (0.0000, 0.0000, 0.0000)
Pt (0.0000, 0.0000, 0.5000)
Se (0.0000, 0.0000, 0.2560)

=====

Question: energy above the most stable polymorph in this dataset of number 1 (Ba2YPtSe6)?
Answer: 0.0141 eV/atom

=====

Question: The lowest calculated volume belongs to which entry?
Answer: number 2

=====

Copy entry 2 word for word.
Here is Ba2YPtSe6 after structural relaxation from the Open Quantum Materials Database. Energies are from PBE.

calculated total energy	-4.943	eV/atom
calculated volume	281	Å³ per cell
total magnetic moment	0.0	μB per formula unit
energy above the most stable polymorph in this dataset	0.0000	eV/atom

a = 6.7662 Å, b = 7.1797 Å, c = 7.4367 Å
α = 66.29°, β = 63.91°, γ = 63.54°
Space group P-1 (No. 2)
One atom of each set of equivalent atoms:
Ba (0.2390, 0.2763, 0.2509)
Y (0.0000, 0.0000, 0.0000)
Pt (0.5000, 0.5000, 0.5000)
Se (0.2005, 0.7772, 0.3210)
Se (0.2640, 0.6522, 0.8189)
Se (0.3302, 0.1958, 0.6913)

=====

Question: The highest calculated volume belongs to which entry?
Answer: Ba2ZrPtSe6